DFT (PBE) results for a geometry-optimized BiSbPb2Se5 structure. Values from VASP.

SG: Cmc2_1 (36)
E_form (uncorrected) in meV per atom: -357.6
DFT total energy in eV per atom: -4.01

Structure (Quantum ESPRESSO input):
```
&SYSTEM
  ibrav = 0, nat = 18, ntyp = 4
/
ATOMIC_SPECIES
Se 78.96 Se.upf
Sb 121.76 Sb.upf
Pb 207.20 Pb.upf
Bi 208.98 Bi.upf
ATOMIC_POSITIONS angstrom
Se -6.2673 -4.5344 2.2438
Se -11.8435 -6.7258 4.1330
Se -7.8066 -0.9010 0.2941
Se -9.9611 -2.9763 3.3203
Se -3.7201 -3.7063 -0.8340
Se -13.2496 -0.9436 2.0163
Se -4.2263 0.5363 -0.9207
Se -1.2454 -0.8636 0.4437
Se -1.2120 -6.7439 0.7750
Se -9.7933 -6.3644 1.2394
Sb -13.5822 1.7040 1.9675
Sb -7.4576 -6.8677 2.7555
Pb -9.0559 -0.0565 2.8645
Pb -3.8482 -6.7865 -0.6145
Pb -4.1328 -1.3854 1.3863
Pb -12.3090 -4.7274 1.9390
Bi -1.1119 -3.8776 0.5767
Bi -8.6666 -3.6105 0.7233
CELL_PARAMETERS angstrom
-1.2744 -0.2345 -4.0334
-0.9023 -8.8228 3.0228
-13.4880 2.7841 4.0998
```

DFT (PBE) results for a geometry-optimized HoMgPdRh structure. Values from VASP.

SG: F-43m (216)
DFT total energy in eV per atom: -5.45
Energy of formation in eV/atom: -0.773

Structure (Quantum ESPRESSO input):
```
&SYSTEM
  ibrav = 0, nat = 4, ntyp = 4
/
ATOMIC_SPECIES
Pd 106.42 Pd.upf
Rh 102.91 Rh.upf
Mg 24.30 Mg.upf
Ho 164.93 Ho.upf
ATOMIC_POSITIONS angstrom
Pd -3.0205 -4.1704 6.9065
Rh -1.0068 -1.3901 2.3022
Mg 0.0000 0.0000 0.0000
Ho -2.0136 -2.7803 4.6043
CELL_PARAMETERS angstrom
-3.4274 -2.7689 1.6050
0.9496 -3.2881 3.2057
-1.5495 0.4964 4.3980
```

DFT (PBE) results for a geometry-optimized Ca2Ce3UN6 structure. Values from VASP.

SG: C2/m (12)
E_form (uncorrected) in meV per atom: -1369.4
DFT total energy in eV per atom: -8.29

Structure (Quantum ESPRESSO input):
```
&SYSTEM
  ibrav = 0, nat = 12, ntyp = 4
/
ATOMIC_SPECIES
N 14.01 N.upf
Ce 140.12 Ce.upf
Ca 40.08 Ca.upf
U 238.03 U.upf
ATOMIC_POSITIONS angstrom
N -0.1057 -0.1830 4.3657
N 2.9378 1.9693 4.4215
N -0.8960 1.5660 1.3974
N 2.1475 3.7183 1.4532
N 0.2376 3.5288 4.4215
N 1.8042 0.0065 1.3974
Ce 1.0209 1.7676 2.9095
Ce 4.0462 0.0204 2.9095
Ce -2.0045 3.5149 2.9095
Ca 3.0502 1.7665 0.0050
Ca 0.0058 3.5248 0.0050
U 0.0000 0.0000 0.0000
CELL_PARAMETERS angstrom
6.1023 0.0039 0.0050
-3.0463 5.2875 0.0050
-1.0142 -1.7561 5.8089
```

DFT (PBE) results for a geometry-optimized NaSc2AlBr structure. Values from VASP.

SG: P4/mmm (123)
E_form (uncorrected) in meV per atom: 14.0
DFT total energy in eV per atom: -3.87

Structure (Quantum ESPRESSO input):
```
&SYSTEM
  ibrav = 0, nat = 5, ntyp = 4
/
ATOMIC_SPECIES
Sc 44.96 Sc.upf
Na 22.99 Na.upf
Al 26.98 Al.upf
Br 79.90 Br.upf
ATOMIC_POSITIONS angstrom
Sc -1.3952 -0.5361 -2.0321
Sc -1.0853 2.2725 0.1457
Na -1.7862 -0.9477 1.4763
Al -4.2667 0.7888 -0.4102
Br 0.0000 0.0000 0.0000
CELL_PARAMETERS angstrom
-2.7904 -1.0721 -4.0643
-3.5724 -1.8954 2.9526
-2.1706 4.5450 0.2913
```

DFT (PBE) results for a geometry-optimized SmAlCuAu structure. Values from VASP.

SG: F-43m (216)
DFT total energy in eV per atom: -4.44
Energy of formation in eV/atom: -0.480

Structure (Quantum ESPRESSO input):
```
&SYSTEM
  ibrav = 0, nat = 4, ntyp = 4
/
ATOMIC_SPECIES
Sm 150.36 Sm.upf
Cu 63.55 Cu.upf
Al 26.98 Al.upf
Au 196.97 Au.upf
ATOMIC_POSITIONS angstrom
Sm -2.1407 -5.4434 0.3643
Cu -1.0704 -2.7217 0.1821
Al 0.0000 0.0000 0.0000
Au -3.2111 -8.1651 0.5464
CELL_PARAMETERS angstrom
-2.0486 -3.5646 -2.4482
1.0448 -4.5458 1.0681
-3.2776 -2.7763 2.1087
```

DFT (PBE) results for a geometry-optimized Y2AgRh2 structure. Values from VASP.

SG: P4/mbm (127)
Polymorph energy (0 for the lowest one) in eV per atom: 0.264
DFT total energy in eV per atom: -6.47
Energy of formation in eV/atom: -0.378

Structure (Quantum ESPRESSO input):
```
&SYSTEM
  ibrav = 0, nat = 10, ntyp = 3
/
ATOMIC_SPECIES
Rh 102.91 Rh.upf
Ag 107.87 Ag.upf
Y 88.91 Y.upf
ATOMIC_POSITIONS angstrom
Rh 6.9255 2.8821 1.6233
Rh 2.8821 1.1612 1.6233
Rh 5.2046 6.9255 1.6233
Rh 1.1612 5.2046 1.6233
Ag 0.0000 0.0000 0.0000
Ag 4.0434 4.0434 0.0000
Y 6.8525 5.2776 0.0000
Y 2.8092 6.8525 0.0000
Y 5.2776 1.2342 0.0000
Y 1.2342 2.8092 0.0000
CELL_PARAMETERS angstrom
8.0867 0.0000 0.0000
0.0000 8.0867 0.0000
0.0000 0.0000 3.2465
```

DFT (PBE) results for a geometry-optimized ErPu2Pd9 structure. Values from VASP.

SG: P4/mmm (123)
DFT total energy in eV per atom: -7.34
Energy of formation in eV/atom: -0.679

Structure (Quantum ESPRESSO input):
```
&SYSTEM
  ibrav = 0, nat = 12, ntyp = 3
/
ATOMIC_SPECIES
Pd 106.42 Pd.upf
Pu 244.00 Pu.upf
Er 167.26 Er.upf
ATOMIC_POSITIONS angstrom
Pd 0.0000 2.0638 10.3362
Pd 2.0638 0.0000 10.3362
Pd 2.0638 2.0638 0.0000
Pd 0.0000 2.0638 2.0602
Pd 2.0638 0.0000 6.1982
Pd 2.0638 0.0000 2.0602
Pd 2.0638 2.0638 8.2743
Pd 2.0638 2.0638 4.1221
Pd 0.0000 2.0638 6.1982
Pu 0.0000 0.0000 4.1112
Pu 0.0000 0.0000 8.2851
Er 0.0000 0.0000 0.0000
CELL_PARAMETERS angstrom
4.1276 0.0000 0.0000
0.0000 4.1276 0.0000
0.0000 0.0000 12.3964
```

DFT (PBE) results for a geometry-optimized KZn2Au6 structure. Values from VASP.

SG: Fd-3m (227)
DFT total energy in eV per atom: -2.55
Energy of formation in eV/atom: 0.035

Structure (Quantum ESPRESSO input):
```
&SYSTEM
  ibrav = 0, nat = 18, ntyp = 3
/
ATOMIC_SPECIES
Au 196.97 Au.upf
Zn 65.41 Zn.upf
K 39.10 K.upf
ATOMIC_POSITIONS angstrom
Au 10.7170 6.1875 1.6640
Au 6.2896 6.1875 1.6640
Au 8.5033 2.3532 1.6640
Au 2.2137 1.2781 3.3997
Au 10.7170 3.6313 5.2789
Au 6.2896 3.6313 0.0718
Au 8.5033 7.4656 5.2789
Au 2.2137 3.6313 0.0718
Au 6.2896 1.2781 3.3997
Au 6.2896 3.6313 5.2789
Au 4.2516 0.1015 0.0718
Au 4.2516 4.8079 3.3997
Zn 6.3775 1.2273 0.8679
Zn 2.1258 1.2273 0.8679
Zn 4.2516 4.9094 0.8679
Zn 4.2516 2.4547 4.3393
K 8.5033 4.9094 3.4715
K 12.7549 7.3641 5.2072
CELL_PARAMETERS angstrom
8.5033 0.0000 0.0000
4.2516 7.3641 0.0000
4.2516 2.4547 6.9429
```

DFT (PBE) results for a geometry-optimized Rb2Mg structure. Values from VASP.

SG: P6_3/mmc (194)
Polymorph energy (0 for the lowest one) in eV per atom: 0.052
DFT total energy in eV per atom: -0.97
Energy of formation in eV/atom: 0.211

Structure (Quantum ESPRESSO input):
```
&SYSTEM
  ibrav = 0, nat = 6, ntyp = 2
/
ATOMIC_SPECIES
Mg 24.30 Mg.upf
Rb 85.47 Rb.upf
ATOMIC_POSITIONS angstrom
Mg 3.5052 6.3559 2.3711
Mg -1.5198 3.2915 2.7421
Rb 0.7043 4.4765 -0.3574
Rb 1.2810 5.1709 5.4706
Rb 0.0000 0.0000 0.0000
Rb 2.8009 1.8794 2.7285
CELL_PARAMETERS angstrom
1.5281 4.7218 -4.8210
-5.1445 1.1668 4.4773
5.6018 3.7588 5.4570
```

DFT (PBE) results for a geometry-optimized Tb4HoEr2Mg structure. Values from VASP.

SG: P4/mmm (123)
DFT total energy in eV per atom: -4.21
Energy of formation in eV/atom: 0.017

Structure (Quantum ESPRESSO input):
```
&SYSTEM
  ibrav = 0, nat = 8, ntyp = 4
/
ATOMIC_SPECIES
Tb 158.93 Tb.upf
Ho 164.93 Ho.upf
Er 167.26 Er.upf
Mg 24.30 Mg.upf
ATOMIC_POSITIONS angstrom
Tb -10.5992 4.4187 1.8689
Tb -3.3824 -0.1603 0.8268
Tb -5.6943 1.9344 -0.7760
Tb -8.2873 2.3241 3.4717
Ho -6.7899 -0.3168 1.6946
Er -4.2280 -0.7029 -2.5098
Er -4.8766 2.4806 2.6025
Mg -2.3150 2.0946 -1.6014
CELL_PARAMETERS angstrom
-0.4016 4.8920 -0.6938
-4.2276 -0.7030 -2.5104
-9.3525 0.0694 5.9001
```

DFT (PBE) results for a geometry-optimized Fe2IrCl structure. Values from VASP.

SG: Cmm2 (35)
E_form (uncorrected) in meV per atom: 330.6
Polymorph energy (0 for the lowest one) in eV per atom: 0.202
DFT total energy in eV per atom: -6.58

Structure (Quantum ESPRESSO input):
```
&SYSTEM
  ibrav = 0, nat = 4, ntyp = 3
/
ATOMIC_SPECIES
Ir 192.22 Ir.upf
Fe 55.84 Fe.upf
Cl 35.45 Cl.upf
ATOMIC_POSITIONS angstrom
Ir -1.1522 -3.7650 1.2036
Fe -0.0298 -0.0975 0.0312
Fe -0.5330 -2.3735 -0.7620
Cl -2.0496 -7.3291 0.8222
CELL_PARAMETERS angstrom
-2.2152 0.1462 -1.6635
2.3228 -1.0582 -1.0864
-2.5816 -8.4354 2.6966
```

DFT (PBE) results for a geometry-optimized ZrMn3Cl structure. Values from VASP.

SG: Pm-3m (221)
E_form (uncorrected) in meV per atom: 601.3
Polymorph energy (0 for the lowest one) in eV per atom: 0.000
DFT total energy in eV per atom: -6.98

Structure (Quantum ESPRESSO input):
```
&SYSTEM
  ibrav = 0, nat = 5, ntyp = 3
/
ATOMIC_SPECIES
Cl 35.45 Cl.upf
Mn 54.94 Mn.upf
Zr 91.22 Zr.upf
ATOMIC_POSITIONS angstrom
Cl 0.0000 0.0000 0.0000
Mn 0.0000 0.0000 2.0669
Mn 2.0669 0.0000 0.0000
Mn 0.0000 2.0669 0.0000
Zr 2.0669 2.0669 2.0669
CELL_PARAMETERS angstrom
4.1338 0.0000 0.0000
0.0000 4.1338 0.0000
0.0000 0.0000 4.1338
```